Entry 1:
Material: La2Pb
Method: DFT, GGA-PBEsol
State: optimized geometry

abc: 5.4413 5.4413 3.3877
angles: 90.00 90.00 120.00
Space group P6/mmm (No. 191)
Inequivalent atoms, fractional coordinates:
La (0.3333, 0.6667, 0.0000) [2 per cell]
Pb (0.0000, 0.0000, 0.5000) [1 per cell]

Properties
M_tot, Bohr magnetons per cell: 0.00


Entry 2:
Material: La3Pb
Method: DFT, GGA-PBEsol
State: optimized geometry

abc: 3.686 11.276 6.052
angles: 90.00 90.00 90.00
Space group Imm2 (No. 44)
Inequivalent atoms, fractional coordinates:
La (0.000, 0.000, 0.000) [2 per cell]
La (0.000, 0.230, 0.648) [4 per cell]
Pb (0.000, 0.500, 0.964) [2 per cell]

Properties
M_tot, Bohr magnetons per cell: 0.00


no.,formation energy from the elements (meV per atom)
1,-271.7
2,-341.7